Entry 1:
Entry from the Alexandria database: AlCr2Si at its PBEsol-relaxed geometry (SCAN).

```
4
Lattice="-1.846 1.846 3.609 1.846 -1.846 3.609 1.846 1.846 -3.609" Properties=species:S:1:pos:R:3 pbc="T T T"
Al 0.000 0.000 0.000
Cr 1.846 0.000 1.804
Cr 0.000 1.846 1.804
Si 0.000 0.000 3.609
```

Summary:
**Calculated total energy**: -13.725 eV per atom
**ΔE_f (raw)**: -0.09 eV per atom



Entry 2:
Entry from the Alexandria database: Al2CrSi at its PBEsol-relaxed geometry (SCAN).

```
4
Lattice="0.000 3.033 3.033 3.033 0.000 3.033 3.033 3.033 0.000" Properties=species:S:1:pos:R:3 pbc="T T T"
Al 0.000 0.000 0.000
Al 1.517 1.517 1.517
Cr 4.550 4.550 4.550
Si 3.033 3.033 3.033
```

Summary:
**Calculated total energy**: -10.816 eV per atom
**ΔE_f (raw)**: 0.16 eV per atom



Entry 3:
Entry from the Alexandria database: AlCr2Si at its PBEsol-relaxed geometry (SCAN).

```
4
Lattice="-1.817 1.817 3.741 1.817 -1.817 3.741 1.817 1.817 -3.741" Properties=species:S:1:pos:R:3 pbc="T T T"
Al 0.000 0.000 0.000
Cr 0.000 0.000 3.741
Cr 0.000 1.817 1.871
Si 1.817 0.000 1.871
```

Summary:
**Calculated total energy**: -13.821 eV per atom
**ΔE_f (raw)**: -0.19 eV per atom



Entry 4:
Entry from the Alexandria database: AlCrSi2 at its PBEsol-relaxed geometry (SCAN).

```
4
Lattice="3.771 0.000 0.000 0.000 3.771 0.000 0.000 0.000 3.646" Properties=species:S:1:pos:R:3 pbc="T T T"
Al 0.000 0.000 0.000
Cr 1.885 1.885 0.000
Si 0.000 1.885 1.823
Si 1.885 0.000 1.823
```

Summary:
**Calculated total energy**: -11.423 eV per atom
**ΔE_f (raw)**: 0.12 eV per atom



Entry 5:
Entry from the Alexandria database: Al9Cr3Si at its PBEsol-relaxed geometry (SCAN).

```
26
Lattice="7.455 0.000 0.000 -3.727 6.456 0.000 0.000 0.000 7.759" Properties=species:S:1:pos:R:3 pbc="T T T"
Al -1.382 3.506 1.940
Al 0.000 2.601 4.364
Al 0.000 2.601 7.274
Al -1.474 5.155 4.364
Al -1.474 5.155 7.274
Al 2.253 1.301 0.484
Al 2.253 1.301 3.395
Al 1.382 3.506 1.940
Al 0.000 5.900 1.940
Al 3.727 0.556 5.819
Al 2.345 2.950 5.819
Al 1.474 5.155 4.364
Al 1.474 5.155 7.274
Al 5.202 1.301 0.484
Al 5.202 1.301 3.395
Al 3.727 3.854 0.484
Al 3.727 3.854 3.395
Al 5.110 2.950 5.819
Cr 0.000 1.487 1.940
Cr -2.440 5.713 1.940
Cr 1.287 0.743 5.819
Cr 2.440 5.713 1.940
Cr 6.167 0.743 5.819
Cr 3.727 4.969 5.819
Si 0.000 0.000 0.000
Si 0.000 0.000 3.879
```

Summary:
**Calculated total energy**: -10.566 eV per atom
**ΔE_f (raw)**: -0.19 eV per atom



Entry 6:
Entry from the Alexandria database: AlCr2Si at its PBEsol-relaxed geometry (SCAN).

```
4
Lattice="1.544 -2.028 0.000 1.544 2.028 0.000 0.000 0.000 7.987" Properties=species:S:1:pos:R:3 pbc="T T T"
Al 0.000 0.000 0.000
Cr 0.000 0.000 4.111
Cr 1.544 0.000 6.003
Si 1.544 0.000 2.284
```

Summary:
**Calculated total energy**: -13.483 eV per atom
**ΔE_f (raw)**: 0.15 eV per atom



Entry 7:
Entry from the Alexandria database: AlCr2Si at its PBEsol-relaxed geometry (SCAN).

```
4
Lattice="2.532 0.000 0.000 0.000 4.157 0.000 -0.534 0.000 4.556" Properties=species:S:1:pos:R:3 pbc="T T T"
Al 0.000 0.000 0.000
Cr 0.857 0.000 2.274
Cr 1.414 2.079 0.936
Si -0.211 2.079 3.173
```

Summary:
**Calculated total energy**: -13.635 eV per atom
**ΔE_f (raw)**: 0.00 eV per atom



Entry 8:
Entry from the Alexandria database: AlCrSi at its PBEsol-relaxed geometry (SCAN).

```
3
Lattice="-1.524 1.524 4.056 1.524 -1.524 4.056 1.524 1.524 -4.056" Properties=species:S:1:pos:R:3 pbc="T T T"
Al 0.000 0.000 0.000
Cr 0.000 0.000 5.464
Si 0.000 0.000 2.577
```

Summary:
**Calculated total energy**: -12.282 eV per atom
**ΔE_f (raw)**: -0.23 eV per atom



Question: The lowest calculated total energy belongs to which entry?
Answer: number 3



Question: Which of these has the lowest ΔE_f (raw)?
Answer: AlCrSi